(1)
This record from Alexandria via LeMat-Bulk describes Na4BeIr3O8 after structural relaxation. The functional is PBE-GGA.

a b c (Å): 6.2377 6.2377 6.2908
angles (deg): 119.70 119.70 59.98
Closest atoms and distances in Å follow each position.
Positions (direct):
Na (0.0000, 0.0000, 0.0000)  6 O 2.37-2.39
Na (0.0000, 0.5000, 0.0000)  6 O 2.37-2.39
Na (0.5000, 0.0000, 0.0000)  6 O 2.37-2.39
Na (0.5000, 0.5000, 0.0000)  6 O 2.47-2.48
Be (0.0000, 0.0000, 0.5000)  6 O 1.96-1.98
Ir (0.0000, 0.5000, 0.5000)  6 O 2.06-2.09
Ir (0.5000, 0.0000, 0.5000)  6 O 2.06-2.09
Ir (0.5000, 0.5000, 0.5000)  6 O 2.06-2.09
O (0.2206, 0.7481, 0.6897)  1 Be 1.96, 2 Ir 2.09
O (0.2223, 0.2223, 0.6911)  1 Be 1.98, 2 Ir 2.09
O (0.2519, 0.7794, 0.3103)  1 Be 1.96, 2 Ir 2.09
O (0.2686, 0.2686, 0.3055)  3 Ir 2.06
O (0.7314, 0.7314, 0.6945)  3 Ir 2.06
O (0.7481, 0.2206, 0.6897)  1 Be 1.96, 2 Ir 2.09
O (0.7777, 0.7777, 0.3089)  1 Be 1.98, 2 Ir 2.09
O (0.7794, 0.2519, 0.3103)  1 Be 1.96, 2 Ir 2.09

## Properties
- DOS at the Fermi energy (states/eV per atom) = 0.94
- symmetry = C2/m, No. 12
- E_form (uncorrected) (eV/atom) = -1.16

***

(2)
This record from Alexandria via LeMat-Bulk describes K3In after structural relaxation. The functional is PBE-GGA.

a b c (Å): 5.8118 5.8118 5.8118
angles (deg): 90.00 90.00 90.00
Closest atoms and distances in Å follow each position.
Positions (direct):
K (0.0000, 0.0000, 0.5000)  4 In 4.11, 8 K 4.11
K (0.0000, 0.5000, 0.0000)  4 In 4.11, 8 K 4.11
K (0.5000, 0.0000, 0.0000)  4 In 4.11, 8 K 4.11
In (0.5000, 0.5000, 0.5000)  12 K 4.11

## Properties
- DOS at the Fermi energy (states/eV per atom) = 0.87
- distance to the lowest polymorph of the same formula (kcal/mol of atoms) = 1.44
- symmetry = Pm-3m, No. 221
- energy of formation from the pure elements (eV per atom) = 0.06

***

(3)
This record from Alexandria via LeMat-Bulk describes CsAgCl after structural relaxation. The functional is PBE-GGA.

a b c (Å): 5.1686 4.5563 10.2718
angles (deg): 90.00 104.41 90.00
Closest atoms and distances in Å follow each position.
Positions (direct):
Cs (0.1519, 0.2500, 0.2996)  5 Cl 3.47-3.52
Cs (0.8481, 0.7500, 0.7004)  5 Cl 3.47-3.52
Ag (0.4606, 0.2500, 0.9234)  1 Cl 2.68, 2 Ag 2.74
Ag (0.5394, 0.7500, 0.0766)  1 Cl 2.68, 2 Ag 2.74
Cl (0.3246, 0.2500, 0.6536)  1 Ag 2.68
Cl (0.6754, 0.7500, 0.3464)  1 Ag 2.68

## Properties
- distance to the lowest polymorph of the same formula (kcal/mol of atoms) = 0.00
- symmetry = P2_1/m, No. 11
- E_form (uncorrected) (eV/atom) = -0.96

***

(4)
This record from Alexandria via LeMat-Bulk describes ScNiW2 after structural relaxation. The functional is PBE-GGA.

a b c (Å): 3.2472 4.2304 4.6519
angles (deg): 90.00 90.00 90.00
Closest atoms and distances in Å follow each position.
Positions (direct):
Sc (0.0000, 0.0000, 0.0000)  4 Ni 2.67, 4 W 2.84
Ni (0.5000, 0.5000, 0.0000)  4 Sc 2.67, 4 W 2.84
W (0.0000, 0.5000, 0.5000)  4 W 2.67, 4 Ni 2.84
W (0.5000, 0.0000, 0.5000)  4 W 2.67, 4 Sc 2.84

## Properties
- DOS at the Fermi energy (states/eV per atom) = 1.11
- distance to the lowest polymorph of the same formula (kcal/mol of atoms) = 0.87
- symmetry = Pmmm, No. 47
- energy of formation from the pure elements (eV per atom) = 0.10

***

(5)
This record from Alexandria via LeMat-Bulk describes Pr7Te4As4 after structural relaxation. The functional is PBE-GGA.

a b c (Å): 11.5930 11.5930 11.5930
angles (deg): 96.48 96.48 140.74
Closest atoms and distances in Å follow each position.
Positions (direct):
Pr (0.0000, 0.2847, 0.2847)  2 Te 3.13, 4 As 3.16
Pr (0.0000, 0.7153, 0.7153)  2 Te 3.13, 4 As 3.16
Pr (0.1350, 0.5000, 0.6350)  4 As 2.98, 1 Te 3.05
Pr (0.2433, 0.2433, 0.0000)  8 Te 3.27-3.34
Pr (0.2847, 0.0000, 0.2847)  2 Te 3.13, 4 As 3.16
Pr (0.2876, 0.2876, 0.5752)  4 As 3.11, 2 Te 3.35
Pr (0.2876, 0.7124, 0.0000)  4 As 3.11, 2 Te 3.35
Pr (0.5000, 0.1350, 0.6350)  4 As 2.98, 1 Te 3.05
Pr (0.5000, 0.8650, 0.3650)  4 As 2.98, 1 Te 3.05
Pr (0.7124, 0.2876, 0.0000)  4 As 3.11, 2 Te 3.35
Pr (0.7124, 0.7124, 0.4248)  4 As 3.11, 2 Te 3.35
Pr (0.7153, 0.0000, 0.7153)  2 Te 3.13, 4 As 3.16
Pr (0.7567, 0.7567, 0.0000)  8 Te 3.27-3.34
Pr (0.8650, 0.5000, 0.3650)  4 As 2.98, 1 Te 3.05
Te (0.1261, 0.1261, 0.2521)  4 Pr 3.13-3.34
Te (0.1261, 0.8739, 0.0000)  4 Pr 3.13-3.34
Te (0.3322, 0.5000, 0.8322)  5 Pr 3.05-3.35
Te (0.5000, 0.3322, 0.8322)  5 Pr 3.05-3.35
Te (0.5000, 0.6678, 0.1678)  5 Pr 3.05-3.35
Te (0.6678, 0.5000, 0.1678)  5 Pr 3.05-3.35
Te (0.8739, 0.1261, 0.0000)  4 Pr 3.13-3.34
Te (0.8739, 0.8739, 0.7479)  4 Pr 3.13-3.34
As (0.1044, 0.6044, 0.2088)  6 Pr 2.98-3.16
As (0.1044, 0.8956, 0.5000)  6 Pr 2.98-3.16
As (0.3956, 0.6044, 0.5000)  6 Pr 2.98-3.16
As (0.3956, 0.8956, 0.7912)  6 Pr 2.98-3.16
As (0.6044, 0.1044, 0.2088)  6 Pr 2.98-3.16
As (0.6044, 0.3956, 0.5000)  6 Pr 2.98-3.16
As (0.8956, 0.1044, 0.5000)  6 Pr 2.98-3.16
As (0.8956, 0.3956, 0.7912)  6 Pr 2.98-3.16

## Properties
- DOS at the Fermi energy (states/eV per atom) = 0.25
- symmetry = I4/mmm, No. 139
- E_form (uncorrected) (eV/atom) = -1.32

***

(6)
This record from Alexandria via LeMat-Bulk describes PmPr2Nd4Sm after structural relaxation. The functional is PBE-GGA.

a b c (Å): 6.3626 3.6853 12.2377
angles (deg): 90.00 100.32 90.00
Closest atoms and distances in Å follow each position.
Positions (direct):
Pm (0.0000, 0.0000, 0.0000)  6 Nd 3.68-3.70, 4 Pr 3.68, 2 Pm 3.69
Pr (0.5000, 0.0000, 0.5000)  4 Sm 3.68, 6 Nd 3.68-3.69, 2 Pr 3.69
Pr (0.5000, 0.5000, 0.0000)  4 Pm 3.68, 2 Pr 3.69, 6 Nd 3.69
Nd (0.2488, 0.0000, 0.7492)  6 Nd 3.67-3.69, 2 Sm 3.67, 3 Pr 3.69, 1 Pm 3.70
Nd (0.2492, 0.5000, 0.2497)  6 Nd 3.67-3.69, 2 Pm 3.68, 3 Pr 3.68-3.69, 1 Sm 3.69
Nd (0.7512, 0.0000, 0.2508)  6 Nd 3.67-3.69, 2 Sm 3.67, 3 Pr 3.69, 1 Pm 3.70
Nd (0.7508, 0.5000, 0.7503)  6 Nd 3.67-3.69, 2 Pm 3.68, 3 Pr 3.68-3.69, 1 Sm 3.69
Sm (0.0000, 0.5000, 0.5000)  6 Nd 3.67-3.69, 4 Pr 3.68, 2 Sm 3.69

## Properties
- DOS at the Fermi energy (states/eV per atom) = 1.67
- symmetry = P2/m, No. 10
- energy of formation from the pure elements (eV per atom) = 0.01

***

| no. | E (eV per atom) |
| --- | --- |
| 1 | -5.86 |
| 2 | -1.45 |
| 3 | -2.81 |
| 4 | -9.40 |
| 5 | -5.63 |
| 6 | -4.75 |